CsCdBiSe3, optimized geometry, DFT PBE; energy relative to the elements, uncorrected = -0.742 eV/atom; electronic total energy = -41.12 eV for the cell shown; space group = P2_1/m, No. 11; magnetic moment = 0.00 μB per atom
1.0
4.394 0.000 0.000
0.000 9.789 0.624
0.000 -4.079 9.790
Cs Cd Bi Se
2 2 2 6
direct
0.250 0.207 0.242
0.750 0.793 0.758
0.250 0.090 0.613
0.750 0.910 0.387
0.250 0.664 0.127
0.750 0.336 0.873
0.750 0.870 0.126
0.250 0.130 0.874
0.250 0.797 0.465
0.750 0.203 0.535
0.750 0.461 0.148
0.250 0.539 0.852